#A
Ti3TcW | PBE-GGA | optimized geometry Values from VASP.

Properties
calculated volume: 15.98 Å³ per atom
space-group type: P2_1/m, No. 11
total magnetic moment: 0.00 μB/cell

```
&SYSTEM
  ibrav = 0, nat = 10, ntyp = 3
/
ATOMIC_SPECIES
Ti 47.87 Ti.upf
Tc 98.00 Tc.upf
W 183.84 W.upf
CELL_PARAMETERS angstrom
4.5323 0.0000 0.0000
0.0000 4.5132 0.0000
-2.2473 0.0000 7.8114
ATOMIC_POSITIONS angstrom
Ti 0.0028 1.1283 0.9016
Ti 0.0107 1.1283 3.8982
Ti 0.0169 1.1283 6.8602
Ti 2.2680 3.3849 0.9512
Ti 2.2743 3.3849 3.9132
Ti 2.2822 3.3849 6.9098
Tc 0.0163 3.3849 5.4601
Tc 2.2686 1.1283 2.3512
W 0.0026 3.3849 2.2643
W 2.2824 1.1283 5.5470
```

#B
Ti3TcW | PBE-GGA | optimized geometry Values from VASP.

Properties
calculated volume: 19.18 Å³ per atom
space-group type: Pm-3m, No. 221
total magnetic moment: 0.00 μB/cell

```
&SYSTEM
  ibrav = 0, nat = 5, ntyp = 3
/
ATOMIC_SPECIES
Ti 47.87 Ti.upf
Tc 98.00 Tc.upf
W 183.84 W.upf
CELL_PARAMETERS angstrom
4.5775 0.0000 0.0000
0.0000 4.5775 0.0000
0.0000 0.0000 4.5775
ATOMIC_POSITIONS angstrom
Ti 0.0000 0.0000 2.2887
Ti 0.0000 2.2887 0.0000
Ti 2.2887 0.0000 0.0000
Tc 0.0000 0.0000 0.0000
W 2.2887 2.2887 2.2887
```

Which of them is the least stable? Correct choice: #B.

#A
Y3TiTc | PBE-GGA | optimized geometry Values from VASP.

Properties
calculated volume: 28.51 Å³ per atom
space-group type: Pm-3m, No. 221
total magnetic moment: 3.26 μB/cell

```
&SYSTEM
  ibrav = 0, nat = 5, ntyp = 3
/
ATOMIC_SPECIES
Y 88.91 Y.upf
Ti 47.87 Ti.upf
Tc 98.00 Tc.upf
CELL_PARAMETERS angstrom
5.2239 0.0000 0.0000
0.0000 5.2239 0.0000
0.0000 0.0000 5.2239
ATOMIC_POSITIONS angstrom
Y 0.0000 0.0000 2.6119
Y 0.0000 2.6119 0.0000
Y 2.6119 0.0000 0.0000
Ti 0.0000 0.0000 0.0000
Tc 2.6119 2.6119 2.6119
```

#B
Y3TiTc | PBE-GGA | optimized geometry Values from VASP.

Properties
calculated volume: 29.64 Å³ per atom
space-group type: Pm-3m, No. 221
total magnetic moment: 2.15 μB/cell

```
&SYSTEM
  ibrav = 0, nat = 5, ntyp = 3
/
ATOMIC_SPECIES
Y 88.91 Y.upf
Ti 47.87 Ti.upf
Tc 98.00 Tc.upf
CELL_PARAMETERS angstrom
5.2921 0.0000 0.0000
0.0000 5.2921 0.0000
0.0000 0.0000 5.2921
ATOMIC_POSITIONS angstrom
Y 0.0000 0.0000 2.6460
Y 0.0000 2.6460 0.0000
Y 2.6460 0.0000 0.0000
Ti 2.6460 2.6460 2.6460
Tc 0.0000 0.0000 0.0000
```

Which of them is the least stable? Correct choice: #A.

#A
Ti2Zn2Tc | PBE-GGA | optimized geometry Values from VASP.

Properties
calculated volume: 16.72 Å³ per atom
space-group type: I4/mmm, No. 139
total magnetic moment: 0.00 μB/cell

```
&SYSTEM
  ibrav = 0, nat = 10, ntyp = 3
/
ATOMIC_SPECIES
Ti 47.87 Ti.upf
Zn 65.41 Zn.upf
Tc 98.00 Tc.upf
CELL_PARAMETERS angstrom
3.2876 0.0000 0.0000
0.0000 3.2876 0.0000
0.0000 0.0000 15.4728
ATOMIC_POSITIONS angstrom
Ti 0.0000 0.0000 1.3927
Ti 0.0000 0.0000 14.0800
Ti 1.6438 1.6438 6.3437
Ti 1.6438 1.6438 9.1291
Zn 0.0000 1.6438 3.8682
Zn 0.0000 1.6438 11.6046
Zn 1.6438 0.0000 3.8682
Zn 1.6438 0.0000 11.6046
Tc 0.0000 0.0000 7.7364
Tc 1.6438 1.6438 0.0000
```

#B
Ti2Zn2Tc | PBE-GGA | optimized geometry Values from VASP.

Properties
calculated volume: 16.26 Å³ per atom
space-group type: P4/mbm, No. 127
total magnetic moment: 0.00 μB/cell

```
&SYSTEM
  ibrav = 0, nat = 10, ntyp = 3
/
ATOMIC_SPECIES
Ti 47.87 Ti.upf
Zn 65.41 Zn.upf
Tc 98.00 Tc.upf
CELL_PARAMETERS angstrom
6.6018 0.0000 0.0000
0.0000 6.6018 0.0000
0.0000 0.0000 3.7313
ATOMIC_POSITIONS angstrom
Ti 1.0238 2.2771 0.0000
Ti 2.2771 5.5780 0.0000
Ti 4.3246 1.0238 0.0000
Ti 5.5780 4.3246 0.0000
Zn 0.9632 4.2641 1.8657
Zn 2.3377 0.9632 1.8657
Zn 4.2641 5.6386 1.8657
Zn 5.6386 2.3377 1.8657
Tc 0.0000 0.0000 0.0000
Tc 3.3009 3.3009 0.0000
```

Which of them is the least stable? Correct choice: #B.

#A
Ti2Zn2Tc | PBE-GGA | optimized geometry Values from VASP.

Properties
calculated volume: 15.68 Å³ per atom
space-group type: Cmmm, No. 65
total magnetic moment: 0.00 μB/cell

```
&SYSTEM
  ibrav = 0, nat = 10, ntyp = 3
/
ATOMIC_SPECIES
Ti 47.87 Ti.upf
Zn 65.41 Zn.upf
Tc 98.00 Tc.upf
CELL_PARAMETERS angstrom
3.3891 0.0000 0.0000
0.0000 14.6368 0.0000
0.0000 0.0000 3.1615
ATOMIC_POSITIONS angstrom
Ti 0.0000 1.4189 0.0000
Ti 0.0000 13.2178 0.0000
Ti 1.6946 5.8994 0.0000
Ti 1.6946 8.7373 0.0000
Zn 0.0000 4.5095 1.5808
Zn 0.0000 10.1273 1.5808
Zn 1.6946 2.8089 1.5808
Zn 1.6946 11.8279 1.5808
Tc 0.0000 7.3184 1.5808
Tc 1.6946 0.0000 1.5808
```

#B
Ti2Zn2Tc | PBE-GGA | optimized geometry Values from VASP.

Properties
calculated volume: 15.33 Å³ per atom
space-group type: P4/mbm, No. 127
total magnetic moment: 0.00 μB/cell

```
&SYSTEM
  ibrav = 0, nat = 10, ntyp = 3
/
ATOMIC_SPECIES
Ti 47.87 Ti.upf
Zn 65.41 Zn.upf
Tc 98.00 Tc.upf
CELL_PARAMETERS angstrom
6.7742 0.0000 0.0000
0.0000 6.7742 0.0000
0.0000 0.0000 3.3404
ATOMIC_POSITIONS angstrom
Ti 1.2304 2.1567 0.0000
Ti 2.1567 5.5438 0.0000
Ti 4.6175 1.2304 0.0000
Ti 5.5438 4.6175 0.0000
Zn 0.8397 4.2268 1.6702
Zn 2.5474 0.8397 1.6702
Zn 4.2268 5.9345 1.6702
Zn 5.9345 2.5474 1.6702
Tc 0.0000 0.0000 1.6702
Tc 3.3871 3.3871 1.6702
```

Which of them is the least stable? Correct choice: #B.